Entry 1:
# Rb2AgBi

An optimized crystal structure of Rb2AgBi (PBE-GGA, the Alexandria database).

abc: 8.7163 8.7163 8.7163
angles: 90.00 90.00 90.00
Space group Fm-3m (No. 225)
Unique sites:
Rb  0.2500  0.2500  0.2500
Ag  0.0000  0.0000  0.0000
Bi  0.0000  0.0000  0.5000

Its total magnetization is 0.02 μB/atom. The calculation puts the uncorrected energy at -2.07 eV per atom.


Entry 2:
# Rb2Ag2Bi

An optimized crystal structure of Rb2Ag2Bi (PBE-GGA, the Alexandria database).

abc: 5.0087 5.0087 14.4921
angles: 90.00 90.00 90.00
Space group I4/mmm (No. 139)
Unique sites:
Rb  0.0000  0.5000  0.2500
Ag  0.0000  0.0000  0.0900
Bi  0.0000  0.0000  0.5000

Its total magnetization is 0.00 μB/atom. The calculation puts the excess energy over the best structure of this formula in the dataset at 499 meV/atom.


Entry 3:
# Rb2Ag2Bi

An optimized crystal structure of Rb2Ag2Bi (PBE-GGA, the Alexandria database).

abc: 7.7485 7.7485 5.7444
angles: 90.00 90.00 90.00
Space group P4/mbm (No. 127)
Unique sites:
Rb  0.1830  0.3170  0.0000
Ag  0.1299  0.6299  0.5000
Bi  0.0000  0.0000  0.5000

Its total magnetization is 0.00 μB/atom. The calculation puts the excess energy over the best structure of this formula in the dataset at 0 meV/atom.


Entry 4:
# RbAgBi2

An optimized crystal structure of RbAgBi2 (PBE-GGA, the Alexandria database).

abc: 4.6262 4.6262 28.8960
angles: 90.00 90.00 120.00
Space group R-3m (No. 166, hexagonal axes)
Unique sites:
Rb  0.0000  0.0000  0.0000
Ag  0.0000  0.0000  0.5000
Bi  0.0000  0.0000  0.1268

Its total magnetization is 0.00 μB/atom. The calculation puts the excess energy over the best structure of this formula in the dataset at 206 meV/atom.


Entry 5:
# RbAg2Bi3S6

An optimized crystal structure of RbAg2Bi3S6 (PBE-GGA, the Alexandria database).

abc: 17.6120 4.1243 8.9528
angles: 90.00 104.52 90.00
Space group C2/m (No. 12)
Unique sites:
Rb  0.0000  0.0000  0.0000
Ag  0.1621  0.5000  0.2744
Bi  0.0000  0.0000  0.5000
Bi  0.1647  0.5000  0.8316
S  0.0203  0.5000  0.2959
S  0.1698  0.0000  0.6315
S  0.1815  0.0000  0.0914

Its total magnetization is 0.00 μB/atom. The calculation puts the uncorrected energy at -3.97 eV per atom.


Entry 6:
# RbAgBi2S4

An optimized crystal structure of RbAgBi2S4 (PBE-GGA, the Alexandria database).

abc: 4.1922 13.9043 14.8253
angles: 90.00 90.00 90.00
Space group Cmcm (No. 63)
Unique sites:
Rb  0.0000  0.1140  0.2500
Ag  0.0000  0.1584  0.7500
Bi  0.0000  0.3674  0.0603
S  0.0000  0.0000  0.0000
S  0.0000  0.2630  0.6017
S  0.0000  0.4347  0.2500

Its total magnetization is 0.00 μB/atom. The calculation puts the uncorrected energy at -4.00 eV per atom.


Entry 7:
# Rb2Ag2BiS4

An optimized crystal structure of Rb2Ag2BiS4 (PBE-GGA, the Alexandria database).

abc: 15.6771 4.1407 7.9467
angles: 90.00 110.27 90.00
Space group C2/m (No. 12)
Unique sites:
Rb  0.1317  0.0000  0.0558
Ag  0.1846  0.5000  0.4869
Bi  0.0000  0.0000  0.5000
S  0.0171  0.5000  0.2664
S  0.1946  0.0000  0.6837

Its total magnetization is 0.00 μB/atom. The calculation puts the uncorrected energy at -3.64 eV per atom.


Entry 8:
# Rb2AgBiSb

An optimized crystal structure of Rb2AgBiSb (PBE-GGA, the Alexandria database).

abc: 7.1192 7.1192 5.7290
angles: 90.00 90.00 90.00
Space group P4/mmm (No. 123)
Unique sites:
Rb  0.0000  0.5000  0.0000
Ag  0.0000  0.0000  0.5000
Bi  0.5000  0.5000  0.5000
Sb  0.5000  0.5000  0.0000

Its total magnetization is 0.00 μB/atom. The calculation puts the uncorrected energy at -2.40 eV per atom.


Entry 9:
# Rb2Ag2BiSe4

An optimized crystal structure of Rb2Ag2BiSe4 (PBE-GGA, the Alexandria database).

abc: 16.2248 4.2766 8.2628
angles: 90.00 110.25 90.00
Space group C2/m (No. 12)
Unique sites:
Rb  0.1321  0.0000  0.0604
Ag  0.1867  0.5000  0.4844
Bi  0.0000  0.0000  0.5000
Se  0.0171  0.5000  0.2630
Se  0.1949  0.0000  0.6879

Its total magnetization is 0.00 μB/atom. The calculation puts the uncorrected energy at -3.40 eV per atom.


Entry 10:
# RbAgBi2Se4

An optimized crystal structure of RbAgBi2Se4 (PBE-GGA, the Alexandria database).

abc: 4.3514 14.4268 15.4489
angles: 90.00 90.00 90.00
Space group Cmcm (No. 63)
Unique sites:
Rb  0.0000  0.1171  0.2500
Ag  0.0000  0.1578  0.7500
Bi  0.0000  0.3675  0.0623
Se  0.0000  0.0000  0.0000
Se  0.0000  0.2646  0.6029
Se  0.0000  0.4383  0.2500

Its total magnetization is 0.00 μB/atom. The calculation puts the uncorrected energy at -3.70 eV per atom.


Entry 11:
# RbTlAgBi

An optimized crystal structure of RbTlAgBi (PBE-GGA, the Alexandria database).

abc: 7.9522 7.9522 7.9522
angles: 90.00 90.00 90.00
Space group F-43m (No. 216)
Unique sites:
Rb  0.0000  0.0000  0.0000
Tl  0.2500  0.2500  0.2500
Ag  0.2500  0.2500  0.7500
Bi  0.0000  0.0000  0.5000

Its total magnetization is 0.00 μB/atom. The calculation puts the uncorrected energy at -2.52 eV per atom.


Entry 12:
# RbVAg2Bi

An optimized crystal structure of RbVAg2Bi (PBE-GGA, the Alexandria database).

abc: 5.6751 5.6751 5.4426
angles: 90.00 90.00 90.00
Space group P4/mmm (No. 123)
Unique sites:
Rb  0.0000  0.0000  0.0000
V  0.5000  0.5000  0.0000
Ag  0.0000  0.5000  0.5000
Bi  0.5000  0.5000  0.5000

Its total magnetization is 0.82 μB/atom. The calculation puts the uncorrected energy at -3.33 eV per atom.


Entry 13:
# ReAg3Bi

An optimized crystal structure of ReAg3Bi (PBE-GGA, the Alexandria database).

abc: 5.0626 5.0626 5.0626
angles: 90.00 90.00 90.00
Space group Pm-3m (No. 221)
Unique sites:
Re  0.0000  0.0000  0.0000
Ag  0.0000  0.0000  0.5000
Bi  0.5000  0.5000  0.5000

Its total magnetization is 0.17 μB/atom. The calculation puts the excess energy over the best structure of this formula in the dataset at 0 meV/atom.


Entry 14:
# Re2AgBi

An optimized crystal structure of Re2AgBi (PBE-GGA, the Alexandria database).

abc: 4.0270 4.0270 20.0550
angles: 90.00 90.00 90.00
Space group I-42d (No. 122)
Unique sites:
Re  0.1745  0.2500  0.1250
Ag  0.0000  0.0000  0.0000
Bi  0.0000  0.0000  0.5000

Its total magnetization is 0.00 μB/atom. The calculation puts the uncorrected energy at -6.91 eV per atom.


Entry 15:
# Re3AgBi

An optimized crystal structure of Re3AgBi (PBE-GGA, the Alexandria database).

abc: 4.8388 4.8388 4.8388
angles: 90.00 90.00 90.00
Space group Pm-3m (No. 221)
Unique sites:
Re  0.0000  0.0000  0.5000
Ag  0.0000  0.0000  0.0000
Bi  0.5000  0.5000  0.5000

Its total magnetization is 0.77 μB/atom. The calculation puts the excess energy over the best structure of this formula in the dataset at 0 meV/atom.


Entry 16:
# ReAg2Bi

An optimized crystal structure of ReAg2Bi (PBE-GGA, the Alexandria database).

abc: 7.8916 7.8916 5.4116
angles: 90.00 90.00 90.00
Space group I-42d (No. 122)
Unique sites:
Re  0.0000  0.0000  0.0000
Ag  0.2244  0.7500  0.1250
Bi  0.0000  0.0000  0.5000

Its total magnetization is 0.00 μB/atom. The calculation puts the uncorrected energy at -4.51 eV per atom.


Entry 17:
# ReTcAgBi2

An optimized crystal structure of ReTcAgBi2 (PBE-GGA, the Alexandria database).

abc: 5.2272 5.2272 5.2198
angles: 90.00 90.00 90.00
Space group P4/mmm (No. 123)
Unique sites:
Re  0.0000  0.0000  0.0000
Tc  0.5000  0.5000  0.5000
Ag  0.0000  0.0000  0.5000
Bi  0.0000  0.5000  0.0000

Its total magnetization is 0.88 μB/atom. The calculation puts the uncorrected energy at -5.10 eV per atom.


Entry 18:
# ReAgBiW2

An optimized crystal structure of ReAgBiW2 (PBE-GGA, the Alexandria database).

abc: 5.0222 5.0222 4.9505
angles: 90.00 90.00 90.00
Space group P4/mmm (No. 123)
Unique sites:
Re  0.0000  0.0000  0.0000
Ag  0.5000  0.5000  0.0000
Bi  0.0000  0.0000  0.5000
W  0.0000  0.5000  0.5000

Its total magnetization is 0.00 μB/atom. The calculation puts the uncorrected energy at -5.84 eV per atom.


Entry 19:
# ZrReAgBi2

An optimized crystal structure of ZrReAgBi2 (PBE-GGA, the Alexandria database).

abc: 5.5929 5.5929 5.3318
angles: 90.00 90.00 90.00
Space group P4/mmm (No. 123)
Unique sites:
Zr  0.0000  0.0000  0.0000
Re  0.5000  0.5000  0.5000
Ag  0.0000  0.0000  0.5000
Bi  0.0000  0.5000  0.0000

Its total magnetization is 0.98 μB/atom. The calculation puts the uncorrected energy at -4.66 eV per atom.


Entry 20:
# Ag2Bi2Rh

An optimized crystal structure of Ag2Bi2Rh (PBE-GGA, the Alexandria database).

abc: 5.5599 5.5599 7.9342
angles: 90.00 90.00 90.00
Space group I4/mmm (No. 139)
Unique sites:
Ag  0.0000  0.0000  0.1621
Bi  0.0000  0.5000  0.2500
Rh  0.0000  0.0000  0.5000

Its total magnetization is 0.00 μB/atom. The calculation puts the excess energy over the best structure of this formula in the dataset at 254 meV/atom.